(1)
## BaNaSn (PBE)

Data for a relaxed BaNaSn crystal.

Output
The value obtained for the distance to the lowest polymorph of the same formula is 0.079 eV per formula unit. The formation energy is -0.402 eV per atom.

Cell lengths 6.5575, 6.5575, 8.6179 Å; angles 126.04, 126.04, 51.17 degrees
Fractional positions:
Ba  0.2289  0.2289  0.2846
Ba  0.7711  0.7711  0.7154
Na  0.1247  0.1247  0.7907
Na  0.8753  0.8753  0.2093
Sn  0.4950  0.4950  0.1686
Sn  0.5050  0.5050  0.8314

***

(2)
## BaNaSn6 (PBE)

Data for a relaxed BaNaSn6 crystal.

Output
The formation energy is -0.252 eV per atom.

Cell lengths 7.3371, 7.3371, 5.1750 Å; angles 90.00, 90.00, 120.00 degrees
Fractional positions:
Ba  0.0000  0.0000  0.0000
Na  0.3333  0.6667  0.5000
Sn  0.0273  0.5136  0.0000
Sn  0.3901  0.1950  0.5000
Sn  0.4864  0.5136  0.0000
Sn  0.4864  0.9727  0.0000
Sn  0.8050  0.1950  0.5000
Sn  0.8050  0.6099  0.5000

***

(3)
## BaNaSn2 (PBE)

Data for a relaxed BaNaSn2 crystal.

Output
The formation energy is -0.172 eV per atom.

Cell lengths 11.3415, 11.3415, 11.3415 Å; angles 152.94, 152.94, 38.64 degrees
Fractional positions:
Ba  0.0000  0.0000  0.0000
Ba  0.7500  0.2500  0.5000
Na  0.2500  0.7500  0.5000
Na  0.5000  0.5000  0.0000
Sn  0.2293  0.6250  0.1043
Sn  0.3750  0.4793  0.6043
Sn  0.5207  0.1250  0.8957
Sn  0.8750  0.7707  0.3957